SrYFe2: relaxed, PBE.

a b c (Å): 8.908 8.908 8.908
angles (deg): 23.19 23.19 23.19
Fractional coordinates of all 4 atoms:
Fe1 0.007 0.007 0.007
Fe2 0.493 0.493 0.493
Sr1 0.250 0.250 0.250
Y1 0.750 0.750 0.750

DFT formation energy: 3.2 eV/f.u.
density: 4972 kg/m³
V: 24.06 Å³/atom